Computed, not measured: an optimized crystal structure of ReIr3Os at the GGA-PBEsol level of DFT.

Calculated values
Total magnetic moment: 3.2 μB per cell
Raw total energy: -41.91 eV/cell

POSCAR file:
```
ReIr3Os
1.0
4.622 0.000 0.000
0.000 4.622 0.000
0.000 0.000 4.622
Re Ir Os
1 3 1
Direct
0.000 0.000 0.000
0.000 0.500 0.500
0.500 0.000 0.500
0.500 0.500 0.000
0.500 0.500 0.500
```

=====

Computed, not measured: an optimized crystal structure of ZnCdPt at the GGA-PBEsol level of DFT.

Calculated values
Total magnetic moment: 0.0 μB per cell
Raw total energy: -10.66 eV/cell

POSCAR file:
```
ZnCdPt
1.0
-1.429 1.841 4.554
1.429 -1.841 4.554
1.429 1.841 -4.554
Zn Cd Pt
1 1 1
Direct
0.000 0.000 0.000
0.686 0.686 0.000
0.370 0.370 0.000
```

=====

Computed, not measured: an optimized crystal structure of SrCd2Cu2 at the GGA-PBEsol level of DFT.

Calculated values
Total magnetic moment: 0.0 μB per cell
Raw total energy: -13.39 eV/cell

POSCAR file:
```
SrCd2Cu2
1.0
-2.165 2.165 5.604
2.165 -2.165 5.604
2.165 2.165 -5.604
Sr Cd Cu
1 2 2
Direct
0.000 0.000 0.000
0.250 0.750 0.500
0.750 0.250 0.500
0.394 0.394 0.000
0.606 0.606 0.000
```

=====

Computed, not measured: an optimized crystal structure of Cd2PtAu at the GGA-PBEsol level of DFT.

Calculated values
Total magnetic moment: 0.0 μB per cell
Raw total energy: -13.91 eV/cell

POSCAR file:
```
Cd2PtAu
1.0
2.918 0.000 0.000
0.000 4.193 0.000
0.000 0.000 5.717
Cd Pt Au
2 1 1
Direct
0.000 0.000 0.000
0.500 0.500 0.290
0.000 0.000 0.502
0.500 0.500 0.777
```

=====

Computed, not measured: an optimized crystal structure of BP2Br at the GGA-PBEsol level of DFT.

Calculated values
E_form (uncorrected): 1.479 eV per atom
Total magnetic moment: 0.0 μB per cell
Raw total energy: -14.55 eV/cell

POSCAR file:
```
BP2Br
1.0
0.000 3.080 3.080
3.080 0.000 3.080
3.080 3.080 0.000
B P Br
1 2 1
Direct
0.000 0.000 0.000
0.250 0.250 0.250
0.750 0.750 0.750
0.500 0.500 0.500
```

=====

Computed, not measured: an optimized crystal structure of ScMn2Cr at the GGA-PBEsol level of DFT.

Calculated values
Excess energy over the best structure of this formula in the dataset: 51 meV/atom
Total magnetic moment: 0.5 μB per cell
Raw total energy: -35.37 eV/cell

POSCAR file:
```
ScMn2Cr
1.0
-1.449 2.180 4.004
1.449 -2.180 4.004
1.449 2.180 -4.004
Sc Mn Cr
1 2 1
Direct
0.000 0.000 0.000
0.270 0.770 0.500
0.730 0.230 0.500
0.500 0.500 0.000
```

=====

Computed, not measured: an optimized crystal structure of ZnAg5 at the GGA-PBEsol level of DFT.

Calculated values
Excess energy over the best structure of this formula in the dataset: 0 meV/atom
Total magnetic moment: 0.0 μB per cell
Raw total energy: -18.28 eV/cell

POSCAR file:
```
ZnAg5
1.0
2.016 -6.066 0.000
2.016 6.066 0.000
0.000 0.000 3.945
Zn Ag
1 5
Direct
0.000 0.000 0.000
0.164 0.836 0.500
0.336 0.664 0.000
0.500 0.500 0.500
0.664 0.336 0.000
0.836 0.164 0.500
```

=====

Computed, not measured: an optimized crystal structure of Si2AsCl at the GGA-PBEsol level of DFT.

Calculated values
Excess energy over the best structure of this formula in the dataset: 424 meV/atom
E_form (uncorrected): 0.385 eV per atom
Total magnetic moment: 0.0 μB per cell
Raw total energy: -17.07 eV/cell

POSCAR file:
```
Si2AsCl
1.0
0.000 3.225 3.225
3.225 0.000 3.225
3.225 3.225 0.000
Si As Cl
2 1 1
Direct
0.000 0.000 0.000
0.250 0.250 0.250
0.750 0.750 0.750
0.500 0.500 0.500
```

=====

Computed, not measured: an optimized crystal structure of TaZn3B at the GGA-PBEsol level of DFT.

Calculated values
Total magnetic moment: 0.0 μB per cell
Raw total energy: -20.80 eV/cell

POSCAR file:
```
TaZn3B
1.0
4.083 0.000 0.000
0.000 4.083 0.000
0.000 0.000 4.083
Ta Zn B
1 3 1
Direct
0.000 0.000 0.000
0.000 0.500 0.500
0.500 0.000 0.500
0.500 0.500 0.000
0.500 0.500 0.500
```

=====

Computed, not measured: an optimized crystal structure of LiOsSCl2 at the GGA-PBEsol level of DFT.

Calculated values
E_form (uncorrected): 0.778 eV per atom
Total magnetic moment: 4.3 μB per cell
Raw total energy: -18.69 eV/cell

POSCAR file:
```
LiOsSCl2
1.0
4.179 0.000 0.000
0.000 4.179 0.000
0.000 0.000 5.020
Li Os S Cl
1 1 1 2
Direct
0.000 0.000 0.000
0.500 0.500 0.500
0.000 0.000 0.500
0.000 0.500 0.000
0.500 0.000 0.000
```

=====

Computed, not measured: an optimized crystal structure of MnRe2Sb at the GGA-PBEsol level of DFT.

Calculated values
E_form (uncorrected): 0.370 eV per atom
Total magnetic moment: 0.0 μB per cell
Raw total energy: -39.50 eV/cell

POSCAR file:
```
MnRe2Sb
1.0
2.995 0.000 0.000
0.000 2.995 0.000
0.000 0.000 6.622
Mn Re Sb
1 2 1
Direct
0.000 0.000 0.000
0.000 0.000 0.473
0.500 0.500 0.232
0.500 0.500 0.762
```

=====

Computed, not measured: an optimized crystal structure of La6WO12 at the GGA-PBEsol level of DFT.

Calculated values
E_form (uncorrected): -3.278 eV per atom
Total magnetic moment: 0.0 μB per cell
Raw total energy: -171.17 eV/cell

POSCAR file:
```
La6WO12
1.0
5.108 2.949 3.286
-5.108 2.949 3.286
0.000 -5.898 3.286
La W O
6 1 12
Direct
0.108 0.804 0.643
0.196 0.357 0.892
0.357 0.892 0.196
0.643 0.108 0.804
0.804 0.643 0.108
0.892 0.196 0.357
0.500 0.500 0.500
0.057 0.905 0.323
0.095 0.677 0.943
0.216 0.433 0.530
0.323 0.057 0.905
0.433 0.530 0.216
0.470 0.784 0.567
0.530 0.216 0.433
0.567 0.470 0.784
0.677 0.943 0.095
0.784 0.567 0.470
0.905 0.323 0.057
0.943 0.095 0.677
```